# NdSmCuAu | the Alexandria database | PBE-GGA | optimized geometry
# Relative energy among the computed polymorphs in meV per atom: 38.9
# Size of the total moment in Bohr magnetons per cell: 0.00
# Energy of formation from the pure elements in kcal/mol of atoms: -10.6
# Crystal system: cubic
# DOS(E_F) in states/eV/f.u.: 3.82
data_NdSmCuAu
_space_group_name_H-M_alt 'F -4 3 m'
_space_group_IT_number 216
_space_group_name_Hall 'F -4 2 3'
_cell_length_a 7.291
_cell_length_b 7.291
_cell_length_c 7.291
_cell_angle_alpha 90.00
_cell_angle_beta 90.00
_cell_angle_gamma 90.00
loop_
_atom_site_label
_atom_site_fract_x
_atom_site_fract_y
_atom_site_fract_z
Nd1 0.000 0.000 0.000
Sm1 0.000 0.000 0.500
Cu1 0.250 0.250 0.750
Au1 0.250 0.250 0.250


# TaMn3Au | the Alexandria database | PBE-GGA | optimized geometry
# Relative energy among the computed polymorphs in meV per atom: 109.1
# Size of the total moment in Bohr magnetons per cell: 9.77
# Energy of formation from the pure elements in kcal/mol of atoms: 32.7
# Crystal system: cubic
# DOS(E_F) in states/eV/f.u.: 4.62
data_TaMn3Au
_space_group_name_H-M_alt 'P m -3 m'
_space_group_IT_number 221
_space_group_name_Hall '-P 4 2 3'
_cell_length_a 4.798
_cell_length_b 4.798
_cell_length_c 4.798
_cell_angle_alpha 90.00
_cell_angle_beta 90.00
_cell_angle_gamma 90.00
loop_
_atom_site_label
_atom_site_fract_x
_atom_site_fract_y
_atom_site_fract_z
Ta1 0.000 0.000 0.000
Mn1 0.000 0.500 0.500
Au1 0.500 0.500 0.500


# AcThMg2 | the Alexandria database | PBE-GGA | optimized geometry
# Size of the total moment in Bohr magnetons per cell: 0.00
# Energy of formation from the pure elements in kcal/mol of atoms: 0.6
# Crystal system: tetragonal
# DOS(E_F) in states/eV/f.u.: 3.89
data_AcThMg2
_space_group_name_H-M_alt 'P 4/m m m'
_space_group_IT_number 123
_space_group_name_Hall '-P 4 2'
_cell_length_a 3.949
_cell_length_b 3.949
_cell_length_c 8.038
_cell_angle_alpha 90.00
_cell_angle_beta 90.00
_cell_angle_gamma 90.00
loop_
_atom_site_label
_atom_site_fract_x
_atom_site_fract_y
_atom_site_fract_z
Ac1 0.000 0.000 0.000
Th1 0.000 0.000 0.500
Mg1 0.500 0.500 0.270


# Li2ScTa | the Alexandria database | PBE-GGA | optimized geometry
# Relative energy among the computed polymorphs in meV per atom: 316.7
# Size of the total moment in Bohr magnetons per cell: 0.00
# Energy of formation from the pure elements in kcal/mol of atoms: 11.4
# Crystal system: orthorhombic
# DOS(E_F) in states/eV/f.u.: 4.62
data_Li2ScTa
_space_group_name_H-M_alt 'C m m m'
_space_group_IT_number 65
_space_group_name_Hall '-C 2 2'
_cell_length_a 5.550
_cell_length_b 10.044
_cell_length_c 2.732
_cell_angle_alpha 90.00
_cell_angle_beta 90.00
_cell_angle_gamma 90.00
loop_
_atom_site_label
_atom_site_fract_x
_atom_site_fract_y
_atom_site_fract_z
Li1 0.250 0.250 0.000
Sc1 0.000 0.000 0.500
Ta1 0.000 0.500 0.500


Question: Number 1 is which compound?
Answer: NdSmCuAu


Question: Which of these has the lowest DOS(E_F)?
Answer: NdSmCuAu


Question: What is the energy of formation from the pure elements in the third record?
Answer: 0.6 kcal/mol of atoms


Question: Which value of DOS(E_F) does entry 2 give?
Answer: 4.62 states/eV/f.u.